# Pu3ThU2P6

A geometry-optimized Pu3ThU2P6 structure (GGA-PBE, Alexandria via LeMat-Bulk).

Properties
crystal system: monoclinic
energy of formation: -1.16 eV/atom

Unit cell a=6.9488 b=12.0412 c=6.9394 alpha=90.00 beta=109.56 gamma=90.00
Closest atoms and distances in Å follow each position.
Space group C2/m (No. 12)
One atom of each set of equivalent atoms:
1 Pu 0.0000 0.0000 0.0000 (multiplicity 2)  6 P 2.78-2.86
2 Pu 0.0000 0.3365 0.0000 (multiplicity 4)  6 P 2.80-2.86
3 Th 0.0000 0.5000 0.5000 (multiplicity 2)  6 P 2.89-2.90
4 U 0.0000 0.1675 0.5000 (multiplicity 4)  6 P 2.81
5 P 0.2388 0.0000 0.7481 (multiplicity 4)  3 Pu 2.78-2.85, 2 U 2.81, 1 Th 2.89
6 P 0.2444 0.1715 0.2489 (multiplicity 8)  3 Pu 2.80-2.86, 2 U 2.81, 1 Th 2.90

# DyGePd3

A geometry-optimized DyGePd3 structure (GGA-PBE, Alexandria via LeMat-Bulk).

Properties
energy above the most stable polymorph in this dataset: 0 meV per atom
crystal system: orthorhombic
energy of formation: -0.71 eV/atom

Unit cell a=9.0135 b=4.0850 c=9.8536 alpha=90.00 beta=90.00 gamma=90.00
Closest atoms and distances in Å follow each position.
Space group Pnma (No. 62)
One atom of each set of equivalent atoms:
1 Dy 0.1080 0.2500 0.1218 (multiplicity 4)  6 Pd 2.92-3.18, 2 Ge 3.05
2 Ge 0.0975 0.7500 0.3511 (multiplicity 4)  7 Pd 2.45-2.67
3 Pd 0.0678 0.7500 0.5980 (multiplicity 4)  3 Ge 2.45-2.58
4 Pd 0.1355 0.2500 0.7879 (multiplicity 4)  2 Ge 2.49-2.51
5 Pd 0.2481 0.7500 0.9537 (multiplicity 4)  2 Ge 2.67, 3 Pd 2.81-2.93, 2 Dy 2.92

# Tl2CSe

A geometry-optimized Tl2CSe structure (GGA-PBE, Alexandria via LeMat-Bulk).

Properties
energy above the most stable polymorph in this dataset: 0 meV per atom
crystal system: tetragonal
ΔE_f (raw): 0.673 eV per atom

Unit cell a=5.9364 b=5.9364 c=11.3311 alpha=90.00 beta=90.00 gamma=90.00
Closest atoms and distances in Å follow each position.
Space group I-42d (No. 122)
One atom of each set of equivalent atoms:
1 Tl 0.1639 0.2500 0.1250 (multiplicity 8)  2 C 2.27
2 C 0.0000 0.0000 0.0000 (multiplicity 4)  4 Tl 2.27
3 Se 0.0000 0.0000 0.5000 (multiplicity 4)  4 Tl 2.86

no.,calculated volume (Å³/cell)
1,547.1
2,362.8
3,399.3